TmZnSnHg (PBE-GGA, optimized geometry); energy of formation from the pure elements = -1.41 eV/f.u.; E = -11.46 eV for the cell shown
1.0
4.339 0.000 0.000
0.000 4.411 0.000
0.000 0.000 4.645
Tm Zn Sn Hg
1 1 1 1
Direct
0.000 0.000 0.000 Tm
0.000 0.500 0.500 Zn
0.500 0.500 0.000 Sn
0.500 0.000 0.500 Hg